DFT (meta-GGA SCAN) results for Mn2Nb at its PBEsol-relaxed geometry.

abc: 4.7588 4.7588 7.8014
angles: 90.00 90.00 120.00
Fractional coordinates of all 12 atoms:
Nb1 0.3333 0.6667 0.4380
Nb2 0.3333 0.6667 0.0620
Nb3 0.6667 0.3333 0.5620
Nb4 0.6667 0.3333 0.9380
Mn1 0.3420 0.1710 0.2500
Mn2 0.1710 0.8290 0.7500
Mn3 0.0000 0.0000 0.0000
Mn4 0.8290 0.1710 0.2500
Mn5 0.1710 0.3420 0.7500
Mn6 0.0000 0.0000 0.5000
Mn7 0.8290 0.6580 0.2500
Mn8 0.6580 0.8290 0.7500

Values from the calculation:
The calculation puts the density of states at the Fermi level at 3.495 states/eV/f.u. The energy of formation from the pure elements comes out at -113 meV per atom. Its total energy is -279.9 eV for the cell shown.

---

DFT (meta-GGA SCAN) results for MnNbNi2Pd at its PBEsol-relaxed geometry.

abc: 4.5088 4.5088 4.6344
angles: 90.00 90.00 90.00
Fractional coordinates of all 5 atoms:
Ni1 0.5000 0.0000 0.0000
Ni2 0.0000 0.5000 0.0000
Nb1 0.0000 0.0000 0.5000
Mn1 0.5000 0.5000 0.5000
Pd1 0.0000 0.0000 0.0000

Values from the calculation:
The calculation puts the density of states at the Fermi level at 2.731 states/eV/f.u. The energy of formation from the pure elements comes out at 1112 meV per atom. Its total energy is -110.9 eV for the cell shown.

---

DFT (meta-GGA SCAN) results for Mn3Nb2O9 at its PBEsol-relaxed geometry.

abc: 5.1551 5.1551 14.1417
angles: 90.00 90.00 120.00
Fractional coordinates of all 28 atoms:
Nb1 0.0000 0.0000 0.6442
Nb2 0.0000 0.0000 0.8572
Nb3 0.0000 0.0000 0.3572
Nb4 0.0000 0.0000 0.1442
Mn1 0.3333 0.6667 0.0199
Mn2 0.3333 0.6667 0.8163
Mn3 0.6667 0.3333 0.4955
Mn4 0.3333 0.6667 0.5199
Mn5 0.3333 0.6667 0.3163
Mn6 0.6667 0.3333 0.9955
O1 0.0255 0.3660 0.4126
O2 0.2455 0.9305 0.7548
O3 0.3287 0.3125 0.5761
O4 0.3405 0.3660 0.9126
O5 0.6850 0.7545 0.7548
O6 0.0695 0.7545 0.2548
O7 0.9838 0.6713 0.5761
O8 0.2455 0.3150 0.2548
O9 0.6875 0.0162 0.5761
O10 0.6340 0.9745 0.9126
O11 0.0255 0.6595 0.9126
O12 0.3405 0.9745 0.4126
O13 0.3287 0.0162 0.0761
O14 0.6875 0.6713 0.0761
O15 0.6340 0.6595 0.4126
O16 0.6850 0.9305 0.2548
O17 0.0695 0.3150 0.7548
O18 0.9838 0.3125 0.0761

Values from the calculation:
Its raw formation energy is -33.12 eV/f.u. The calculation puts the density of states at the Fermi level at 2.411 states/eV/f.u. Its total energy is -420.5 eV for the cell shown.

---

DFT (meta-GGA SCAN) results for Mn3NbO8 at its PBEsol-relaxed geometry.

abc: 5.6557 5.6557 9.2567
angles: 90.00 90.00 120.00
Fractional coordinates of all 24 atoms:
O1 0.3333 0.6667 0.3905
O2 0.6726 0.8363 0.8988
O3 0.8363 0.6726 0.3988
O4 0.3274 0.1637 0.3988
O5 0.0000 0.0000 0.1851
O6 0.6667 0.3333 0.8905
O7 0.0000 0.0000 0.6851
O8 0.9665 0.4832 0.6685
O9 0.5168 0.0335 0.6685
O10 0.1637 0.8363 0.8988
O11 0.0335 0.5168 0.1685
O12 0.8363 0.1637 0.3988
O13 0.1637 0.3274 0.8988
O14 0.4832 0.5168 0.1685
O15 0.4832 0.9665 0.1685
O16 0.5168 0.4832 0.6685
Mn1 0.1680 0.3361 0.2847
Mn2 0.3361 0.1680 0.7847
Mn3 0.8320 0.6639 0.7847
Mn4 0.1680 0.8320 0.2847
Mn5 0.6639 0.8320 0.2847
Mn6 0.8320 0.1680 0.7847
Nb1 0.3333 0.6667 0.0072
Nb2 0.6667 0.3333 0.5072

Values from the calculation:
Its raw formation energy is -26.85 eV/f.u. The calculation puts the density of states at the Fermi level at 3.241 states/eV/f.u. Its total energy is -329.2 eV for the cell shown.

---

DFT (meta-GGA SCAN) results for MnNbPO2 at its PBEsol-relaxed geometry.

abc: 3.8650 3.8650 5.2293
angles: 90.00 90.00 90.00
Fractional coordinates of all 5 atoms:
O1 0.0000 0.5000 0.0000
O2 0.5000 0.0000 0.0000
Nb1 0.0000 0.0000 0.0000
Mn1 0.5000 0.5000 0.5000
P1 0.0000 0.0000 0.5000

Values from the calculation:
Its raw formation energy is -7.42 eV/f.u. The calculation puts the density of states at the Fermi level at 0.258 states/eV/f.u. Its total energy is -81.7 eV for the cell shown.

---

DFT (meta-GGA SCAN) results for MnNbP2O8 at its PBEsol-relaxed geometry.

abc: 4.9653 6.0264 10.0638
angles: 90.00 92.23 90.00
Fractional coordinates of all 24 atoms:
O1 0.2768 0.4472 0.1688
O2 0.7297 0.5465 0.3382
O3 0.7070 0.2500 0.6104
O4 0.2703 0.0465 0.6618
O5 0.7297 0.9535 0.3382
O6 0.8435 0.7500 0.0530
O7 0.7232 0.9472 0.8312
O8 0.1747 0.7500 0.8708
O9 0.2768 0.0528 0.1688
O10 0.3177 0.2500 0.4421
O11 0.2930 0.7500 0.3896
O12 0.2703 0.4535 0.6618
O13 0.1565 0.2500 0.9470
O14 0.7232 0.5528 0.8312
O15 0.8253 0.2500 0.1292
O16 0.6823 0.7500 0.5579
P1 0.4040 0.2500 0.5902
P2 0.1231 0.2500 0.0950
P3 0.8769 0.7500 0.9050
P4 0.5960 0.7500 0.4098
Nb1 0.4350 0.7500 0.7191
Nb2 0.5650 0.2500 0.2809
Mn1 0.0675 0.7500 0.2207
Mn2 0.9325 0.2500 0.7793

Values from the calculation:
Its raw formation energy is -29.43 eV/f.u. Its total energy is -302.9 eV for the cell shown.

---

DFT (meta-GGA SCAN) results for MnNb3P6O24 at its PBEsol-relaxed geometry.

abc: 8.6665 8.6665 8.9740
angles: 61.13 61.13 60.00
Fractional coordinates of all 34 atoms:
O1 0.5758 0.7860 0.2264
O2 0.0134 0.7508 0.5834
O3 0.9588 0.0605 0.2772
O4 0.1309 0.2869 0.0836
O5 0.4118 0.5758 0.2264
O6 0.7860 0.4118 0.2264
O7 0.8648 0.7175 0.9179
O8 0.7175 0.4998 0.9179
O9 0.7508 0.6524 0.5834
O10 0.6524 0.0134 0.5834
O11 0.0605 0.7034 0.2772
O12 0.2123 0.5859 0.7790
O13 0.5859 0.4228 0.7790
O14 0.2353 0.3565 0.4148
O15 0.0488 0.9306 0.7156
O16 0.4998 0.8648 0.9179
O17 0.9306 0.3050 0.7156
O18 0.4986 0.1309 0.0836
O19 0.3565 0.9934 0.4148
O20 0.3050 0.0488 0.7156
O21 0.9934 0.2353 0.4148
O22 0.7034 0.9588 0.2772
O23 0.2869 0.4986 0.0836
O24 0.4228 0.2123 0.7790
Nb1 0.3579 0.3579 0.9263
Nb2 0.6397 0.6397 0.0810
Nb3 0.1421 0.1421 0.5737
P1 0.9674 0.2398 0.2536
P2 0.0301 0.7480 0.7440
P3 0.2398 0.5392 0.2536
P4 0.5392 0.9674 0.2536
P5 0.7480 0.4779 0.7440
P6 0.4779 0.0301 0.7440
Mn1 0.8558 0.8558 0.4325

Values from the calculation:
Its raw formation energy is -86.44 eV/f.u. The calculation puts the density of states at the Fermi level at 6.743 states/eV/f.u. Its total energy is -416.0 eV for the cell shown.

---

DFT (meta-GGA SCAN) results for Sr2MnNbO6 at its PBEsol-relaxed geometry.

abc: 5.5126 5.5126 9.5487
angles: 73.27 73.27 60.00
Fractional coordinates of all 20 atoms:
O1 0.8687 0.8814 0.3813
O2 0.8846 0.3844 0.8719
O3 0.8814 0.8687 0.8813
O4 0.6156 0.1154 0.6281
O5 0.1186 0.1313 0.1187
O6 0.3688 0.3812 0.8813
O7 0.3812 0.3688 0.3813
O8 0.6312 0.6188 0.1187
O9 0.1154 0.6156 0.1281
O10 0.1313 0.1186 0.6187
O11 0.6188 0.6312 0.6187
O12 0.3844 0.8846 0.3719
Mn1 0.0000 0.5000 0.0000
Mn2 0.5000 0.0000 0.5000
Nb1 0.2500 0.7500 0.2500
Nb2 0.7500 0.2500 0.7500
Sr1 0.3749 0.8751 0.8751
Sr2 0.8751 0.3749 0.3751
Sr3 0.1249 0.6251 0.6249
Sr4 0.6251 0.1249 0.1249

Values from the calculation:
Its raw formation energy is -29.17 eV/f.u. The calculation puts the density of states at the Fermi level at 1.540 states/eV/f.u. Its total energy is -325.0 eV for the cell shown.

---

Number 1: density 8.80 Mg/m³. Number 2: density 6.55 Mg/m³. Number 3: density 5.05 Mg/m³. Number 4: density 5.00 Mg/m³. Number 5: density 4.48 Mg/m³. Number 6: density 3.73 Mg/m³. Number 7: density 3.10 Mg/m³. Number 8: density 5.87 Mg/m³.